(1)
First-principles (PBE-GGA) data for a relaxed structure of CsI2, as listed in Alexandria via LeMat-Bulk.

Uncorrected formation energy ... -2.1 eV/f.u.
ΔE to the lowest computed polymorph ... 346.9 meV/atom
Magnetization ... 0.00 μB per atom

Unit cell a=7.4486 b=7.4486 c=7.4486 alpha=60.00 beta=60.00 gamma=60.00
Atoms (fractional coordinates):
I  0.6250  0.6250  0.1250
I  0.1250  0.6250  0.6250
I  0.6250  0.6250  0.6250
I  0.6250  0.1250  0.6250
Cs  0.0000  0.0000  0.0000
Cs  0.2500  0.2500  0.2500

(2)
First-principles (PBE-GGA) data for a relaxed structure of CuPd3Pt4, as listed in Alexandria via LeMat-Bulk.

Energy of formation ... -0.068 eV/atom
ΔE to the lowest computed polymorph ... 0.0 meV/atom
Magnetization ... 0.00 μB per atom

Unit cell a=3.9223 b=4.8318 c=7.3269 alpha=90.33 beta=74.47 gamma=66.05
Atoms (fractional coordinates):
Pt  0.8794  0.8701  0.3711
Pt  0.1206  0.1299  0.6289
Pt  0.3707  0.3805  0.8782
Pt  0.6293  0.6195  0.1218
Pd  0.7404  0.7623  0.7568
Pd  0.2596  0.2377  0.2432
Pd  0.5000  0.5000  0.5000
Cu  0.0000  0.0000  0.0000

(3)
First-principles (PBE-GGA) data for a relaxed structure of AgSb2Ru, as listed in Alexandria via LeMat-Bulk.

Uncorrected formation energy ... 0.4 eV/f.u.
Magnetization ... 0.00 μB per atom

Unit cell a=8.7403 b=8.7403 c=8.7403 alpha=22.09 beta=22.09 gamma=22.09
Atoms (fractional coordinates):
Sb  0.0088  0.0088  0.0088
Sb  0.4912  0.4912  0.4912
Ru  0.7500  0.7500  0.7500
Ag  0.2500  0.2500  0.2500

(4)
First-principles (PBE-GGA) data for a relaxed structure of Ba2AlAg2, as listed in Alexandria via LeMat-Bulk.

Energy of formation ... -0.049 eV/atom
ΔE to the lowest computed polymorph ... 179.1 meV/atom
Magnetization ... 0.00 μB per atom

Unit cell a=4.0097 b=4.0097 c=10.5426 alpha=79.04 beta=79.04 gamma=90.00
Atoms (fractional coordinates):
Al  0.0000  0.0000  0.0000
Ba  0.3944  0.3944  0.2112
Ba  0.6056  0.6056  0.7888
Ag  0.7500  0.2500  0.5000
Ag  0.2500  0.7500  0.5000

(5)
First-principles (PBE-GGA) data for a relaxed structure of TiBiTeS2, as listed in Alexandria via LeMat-Bulk.

Uncorrected formation energy ... 4.1 eV/f.u.
Magnetization ... 0.08 μB per atom

Unit cell a=5.1461 b=5.5887 c=5.1461 alpha=90.00 beta=90.00 gamma=90.00
Last column: magnetic moment on the atom in μB.
Atoms (fractional coordinates):
Te  0.5000  0.5000  0.5000  -0.18
S  0.0000  0.0000  0.5000  -0.06
S  0.5000  0.0000  0.0000  -0.07
Bi  0.0000  0.0000  0.0000  -0.01
Ti  0.0000  0.5000  0.0000  0.13

(6)
First-principles (PBE-GGA) data for a relaxed structure of ZnBi4O8, as listed in Alexandria via LeMat-Bulk.

Uncorrected formation energy ... -13.9 eV/f.u.
ΔE to the lowest computed polymorph ... 0.0 meV/atom
Magnetization ... 0.00 μB per atom

Unit cell a=7.0628 b=7.0628 c=9.6626 alpha=68.53 beta=68.53 gamma=28.67
Atoms (fractional coordinates):
O  0.8370  0.8370  0.3807
O  0.7266  0.7266  0.0193
O  0.5138  0.5138  0.7276
O  0.5126  0.5126  0.1997
O  0.2107  0.2107  0.5962
O  0.1081  0.1081  0.9030
O  0.1452  0.1452  0.3208
O  0.8442  0.8442  0.6947
Bi  0.6630  0.6630  0.4741
Bi  0.1161  0.1161  0.1213
Bi  0.9268  0.9268  0.8509
Bi  0.3836  0.3836  0.4901
Zn  0.6870  0.6870  0.8128